Entry 1:
A plane-wave DFT calculation with GGA-PBE was carried out for CuSiTc2 after structural relaxation.

## Properties
Uncorrected formation energy   -0.2 eV/f.u.

Structure (POSCAR):
```
CuSiTc2
1.0
4.537 -0.011 0.000
1.309 4.344 0.000
-2.923 -2.166 2.711
Cu Si Tc
1 1 2
Direct
0.500 0.500 0.000 Cu
0.750 0.250 0.500 Si
0.000 0.000 0.000 Tc
0.250 0.750 0.500 Tc
```

Entry 2:
A plane-wave DFT calculation with GGA-PBE was carried out for Ac2Pu2N5 after structural relaxation.

## Properties
Uncorrected formation energy   -9.8 eV/f.u.

Structure (POSCAR):
```
Ac2Pu2N5
1.0
-1.913 -3.747 -0.730
5.994 -1.161 2.742
-4.680 1.533 4.395
Ac Pu N
2 2 5
Direct
0.380 0.761 0.694 Ac
0.620 0.239 0.306 Ac
0.133 0.266 0.846 Pu
0.867 0.734 0.154 Pu
0.329 0.657 0.052 N
0.671 0.343 0.948 N
0.160 0.321 0.551 N
0.840 0.679 0.449 N
0.000 0.000 0.000 N
```

Repeat the second record exactly.
A plane-wave DFT calculation with GGA-PBE was carried out for Ac2Pu2N5 after structural relaxation.

## Properties
Uncorrected formation energy   -9.8 eV/f.u.

Structure (POSCAR):
```
Ac2Pu2N5
1.0
-1.913 -3.747 -0.730
5.994 -1.161 2.742
-4.680 1.533 4.395
Ac Pu N
2 2 5
Direct
0.380 0.761 0.694 Ac
0.620 0.239 0.306 Ac
0.133 0.266 0.846 Pu
0.867 0.734 0.154 Pu
0.329 0.657 0.052 N
0.671 0.343 0.948 N
0.160 0.321 0.551 N
0.840 0.679 0.449 N
0.000 0.000 0.000 N
```